# 1
VASP calculation (PBE) on a relaxed structure of ZnAg. Values from VASP.

Computed properties:
Size of the total moment ... 0.0 Bohr magnetons per cell
DOS at the Fermi energy ... 0.707 states/eV/f.u.
Final energy ... -2.07 eV per atom
Space-group type ... No. 166
Energy relative to the elements ... -9 meV/atom

Cell and atoms, written as Quantum ESPRESSO input:
```
&SYSTEM
  ibrav = 0, nat = 2, ntyp = 2
/
ATOMIC_SPECIES
Zn 65.41 Zn.upf
Ag 107.87 Ag.upf
ATOMIC_POSITIONS angstrom
Zn 0.000 0.000 0.000
Ag 0.000 0.000 6.723
CELL_PARAMETERS angstrom
1.454 0.840 4.482
-1.454 0.840 4.482
0.000 -1.679 4.482
```

***

# 2
VASP calculation (PBE) on a relaxed structure of ZnAg4. Values from VASP.

Computed properties:
Size of the total moment ... 0.0 Bohr magnetons per cell
DOS at the Fermi energy ... 1.625 states/eV/f.u.
Final energy ... -2.54 eV per atom
Offset from the most stable computed form ... 0.0013 eV per atom
Space-group type ... No. 87
Energy relative to the elements ... -4 meV/atom

Cell and atoms, written as Quantum ESPRESSO input:
```
&SYSTEM
  ibrav = 0, nat = 5, ntyp = 2
/
ATOMIC_SPECIES
Zn 65.41 Zn.upf
Ag 107.87 Ag.upf
ATOMIC_POSITIONS angstrom
Zn 0.000 0.000 0.000
Ag 3.931 1.331 0.000
Ag 1.331 2.610 0.000
Ag 1.940 0.660 2.016
Ag -0.660 1.940 2.016
CELL_PARAMETERS angstrom
-3.271 3.271 2.016
3.271 -3.271 2.016
3.271 3.271 -2.016
```

***

# 3
VASP calculation (PBE) on a relaxed structure of ZnAg3. Values from VASP.

Computed properties:
Size of the total moment ... 0.0 Bohr magnetons per cell
DOS at the Fermi energy ... 0.753 states/eV/f.u.
Final energy ... -2.46 eV per atom
Space-group type ... No. 10
Energy relative to the elements ... -6 meV/atom

Cell and atoms, written as Quantum ESPRESSO input:
```
&SYSTEM
  ibrav = 0, nat = 4, ntyp = 2
/
ATOMIC_SPECIES
Zn 65.41 Zn.upf
Ag 107.87 Ag.upf
ATOMIC_POSITIONS angstrom
Zn 0.000 0.000 0.000
Ag -0.142 0.000 2.852
Ag 1.310 2.081 1.385
Ag 1.287 2.081 4.319
CELL_PARAMETERS angstrom
2.881 0.000 0.000
0.000 4.163 0.000
-0.283 0.000 5.704
```

***

# 4
VASP calculation (PBE) on a relaxed structure of Zn3Ag13. Values from VASP.

Computed properties:
Size of the total moment ... 0.0 Bohr magnetons per cell
DOS at the Fermi energy ... 4.435 states/eV/f.u.
Final energy ... -2.56 eV per atom
Space-group type ... No. 38
Energy relative to the elements ... -5 meV/atom

Cell and atoms, written as Quantum ESPRESSO input:
```
&SYSTEM
  ibrav = 0, nat = 16, ntyp = 2
/
ATOMIC_SPECIES
Zn 65.41 Zn.upf
Ag 107.87 Ag.upf
ATOMIC_POSITIONS angstrom
Zn 0.000 0.000 0.000
Zn 2.061 0.000 2.192
Zn 6.041 0.000 2.192
Ag 0.000 -1.912 2.136
Ag 0.000 1.912 2.136
Ag 0.000 0.000 4.260
Ag 1.987 0.000 6.365
Ag 1.995 -2.079 4.268
Ag 1.995 2.079 4.268
Ag 4.051 0.000 0.080
Ag 4.051 -1.996 2.167
Ag 4.051 1.996 2.167
Ag 4.051 0.000 4.259
Ag 6.107 -2.079 4.268
Ag 6.107 2.079 4.268
Ag 6.115 0.000 6.365
CELL_PARAMETERS angstrom
8.102 0.000 0.000
0.000 4.065 4.202
0.000 -4.065 4.202
```

***

# 5
VASP calculation (PBE) on a relaxed structure of Zn7Ag3. Values from VASP.

Computed properties:
Size of the total moment ... 0.0 Bohr magnetons per cell
DOS at the Fermi energy ... 3.132 states/eV/f.u.
Final energy ... -1.49 eV per atom
Offset from the most stable computed form ... 0.2594 eV per atom
Space-group type ... No. 65
Energy relative to the elements ... 255 meV/atom

Cell and atoms, written as Quantum ESPRESSO input:
```
&SYSTEM
  ibrav = 0, nat = 10, ntyp = 2
/
ATOMIC_SPECIES
Zn 65.41 Zn.upf
Ag 107.87 Ag.upf
ATOMIC_POSITIONS angstrom
Zn 0.000 0.000 0.000
Zn 1.170 2.927 3.404
Zn 2.341 4.572 1.978
Zn 2.341 4.572 4.830
Zn 1.170 -2.927 3.404
Zn 2.341 -4.572 1.978
Zn 2.341 -4.572 4.830
Ag 2.341 2.044 0.000
Ag 2.341 0.000 3.404
Ag 2.341 -2.044 0.000
CELL_PARAMETERS angstrom
2.341 -5.853 0.000
2.341 5.853 0.000
0.000 0.000 6.807
```

***

# 6
VASP calculation (PBE) on a relaxed structure of ZnAg. Values from VASP.

Computed properties:
Size of the total moment ... 0.0 Bohr magnetons per cell
DOS at the Fermi energy ... 0.337 states/eV/f.u.
Final energy ... -2.04 eV per atom
Space-group type ... No. 63
Energy relative to the elements ... 26 meV/atom

Cell and atoms, written as Quantum ESPRESSO input:
```
&SYSTEM
  ibrav = 0, nat = 4, ntyp = 2
/
ATOMIC_SPECIES
Zn 65.41 Zn.upf
Ag 107.87 Ag.upf
ATOMIC_POSITIONS angstrom
Zn 1.407 3.545 3.359
Zn 1.407 -3.545 1.120
Ag 1.407 0.862 3.359
Ag 1.407 -0.862 1.120
CELL_PARAMETERS angstrom
1.407 -5.299 0.000
1.407 5.299 0.000
0.000 0.000 4.478
```

***

Number 6 is which compound?
ZnAg

***

What is the formula in the second record?
ZnAg4